Entry 1:
# CsTiAl2 (PBE-GGA, relaxed)
# - Final energy: -0.12077 Ha/atom
# - Crystal system: tetragonal
# - Space group: I4_1/amd, No. 141
data_CsTiAl2
_chemical_formula_sum 'Cs2 Ti2 Al4'
_symmetry_space_group_name_H-M 'P 1'
_symmetry_Int_Tables_number 1
_symmetry_space_group_name_Hall 'P 1'
_cell_length_a 10.240
_cell_length_b 10.240
_cell_length_c 10.240
_cell_angle_alpha 148.26
_cell_angle_beta 148.26
_cell_angle_gamma 45.51
loop_
_atom_site_label
_atom_site_fract_x
_atom_site_fract_y
_atom_site_fract_z
Cs1 0.375 0.625 0.750
Cs2 0.625 0.375 0.250
Ti1 0.125 0.875 0.250
Ti2 0.875 0.125 0.750
Al1 0.000 0.000 0.000
Al2 0.000 0.000 0.500
Al3 0.000 0.500 0.000
Al4 0.500 0.000 0.500

Entry 2:
# CsTiAl3 (PBE-GGA, relaxed)
# - Crystal system: cubic
# - Space group: Pm-3m, No. 221
# - Offset from the most stable computed form: 1524.4 meV/atom
data_CsTiAl3
_chemical_formula_sum 'Cs1 Ti1 Al3'
_symmetry_space_group_name_H-M 'P 1'
_symmetry_Int_Tables_number 1
_symmetry_space_group_name_Hall 'P 1'
_cell_length_a 5.632
_cell_length_b 5.632
_cell_length_c 5.632
_cell_angle_alpha 90.00
_cell_angle_beta 90.00
_cell_angle_gamma 90.00
loop_
_atom_site_label
_atom_site_fract_x
_atom_site_fract_y
_atom_site_fract_z
Cs1 0.000 0.000 0.000
Ti1 0.500 0.500 0.500
Al1 0.000 0.000 0.500
Al2 0.000 0.500 0.000
Al3 0.500 0.000 0.000

Entry 3:
# CsTiAl (PBE-GGA, relaxed)
# - Crystal system: triclinic
# - Space group: P1, No. 1
# - Offset from the most stable computed form: 0.0 meV/atom
data_CsTiAl
_chemical_formula_sum 'Cs2 Ti2 Al2'
_symmetry_space_group_name_H-M 'P 1'
_symmetry_Int_Tables_number 1
_symmetry_space_group_name_Hall 'P 1'
_cell_length_a 3.926
_cell_length_b 4.951
_cell_length_c 13.031
_cell_angle_alpha 79.39
_cell_angle_beta 84.12
_cell_angle_gamma 66.64
loop_
_atom_site_label
_atom_site_fract_x
_atom_site_fract_y
_atom_site_fract_z
Cs1 0.000 0.000 0.000
Cs2 0.463 0.646 0.624
Ti1 0.090 0.579 0.346
Ti2 0.700 0.442 0.224
Al1 0.394 0.015 0.281
Al2 0.784 0.142 0.418

Entry 4:
# CsTiAl3 (PBE-GGA, relaxed)
# - Crystal system: cubic
# - Space group: Pm-3m, No. 221
# - Offset from the most stable computed form: 0.0 meV/atom
data_CsTiAl3
_chemical_formula_sum 'Cs1 Ti1 Al3'
_symmetry_space_group_name_H-M 'P 1'
_symmetry_Int_Tables_number 1
_symmetry_space_group_name_Hall 'P 1'
_cell_length_a 5.321
_cell_length_b 5.321
_cell_length_c 5.321
_cell_angle_alpha 90.00
_cell_angle_beta 90.00
_cell_angle_gamma 90.00
loop_
_atom_site_label
_atom_site_fract_x
_atom_site_fract_y
_atom_site_fract_z
Cs1 0.000 0.000 0.000
Ti1 0.500 0.500 0.500
Al1 0.000 0.500 0.500
Al2 0.500 0.000 0.500
Al3 0.500 0.500 0.000

Entry 5:
# CsTi3Al (PBE-GGA, relaxed)
# - Crystal system: cubic
# - Space group: Pm-3m, No. 221
# - Offset from the most stable computed form: 765.8 meV/atom
data_CsTi3Al
_chemical_formula_sum 'Cs1 Ti3 Al1'
_symmetry_space_group_name_H-M 'P 1'
_symmetry_Int_Tables_number 1
_symmetry_space_group_name_Hall 'P 1'
_cell_length_a 4.917
_cell_length_b 4.917
_cell_length_c 4.917
_cell_angle_alpha 90.00
_cell_angle_beta 90.00
_cell_angle_gamma 90.00
loop_
_atom_site_label
_atom_site_fract_x
_atom_site_fract_y
_atom_site_fract_z
Cs1 0.000 0.000 0.000
Ti1 0.000 0.000 0.500
Ti2 0.000 0.500 0.000
Ti3 0.500 0.000 0.000
Al1 0.500 0.500 0.500

Entry 6:
# CsTi3Al (PBE-GGA, relaxed)
# - Crystal system: cubic
# - Space group: Pm-3m, No. 221
# - Offset from the most stable computed form: 0.0 meV/atom
data_CsTi3Al
_chemical_formula_sum 'Cs1 Ti3 Al1'
_symmetry_space_group_name_H-M 'P 1'
_symmetry_Int_Tables_number 1
_symmetry_space_group_name_Hall 'P 1'
_cell_length_a 5.094
_cell_length_b 5.094
_cell_length_c 5.094
_cell_angle_alpha 90.00
_cell_angle_beta 90.00
_cell_angle_gamma 90.00
loop_
_atom_site_label
_atom_site_fract_x
_atom_site_fract_y
_atom_site_fract_z
Cs1 0.000 0.000 0.000
Ti1 0.000 0.500 0.500
Ti2 0.500 0.000 0.500
Ti3 0.500 0.500 0.000
Al1 0.500 0.500 0.500

no.,theoretical density (Mg/m³),DOS(E_F) (states/eV/f.u.)
1,2.63,7.69
2,2.43,7.04
3,3.02,1.47
4,2.88,5.71
5,4.24,5.10
6,3.81,5.23